First-principles (PBE) data for a relaxed K3VHg crystal, as listed in Alexandria.

Output
symmetry	Pm-3m, No. 221
energy relative to the lowest polymorph listed for this composition	0.000	eV per atom
DOS(E_F)	5.9	states/eV/f.u.
energy relative to the elements	782	meV/atom

```
data_K3VHg
_chemical_formula_sum 'K3 V1 Hg1'
_cell_length_a 6.641
_cell_length_b 6.641
_cell_length_c 6.641
_cell_angle_alpha 90.00
_cell_angle_beta 90.00
_cell_angle_gamma 90.00
_space_group_name_H-M_alt 'P 1'
_space_group_IT_number 1
_space_group_name_Hall 'P 1'
loop_
_atom_site_label
_atom_site_type_symbol
_atom_site_fract_x
_atom_site_fract_y
_atom_site_fract_z
_atom_site_occupancy
K1 K 0.000 0.000 0.500 1
K2 K 0.000 0.500 0.000 1
K3 K 0.500 0.000 0.000 1
V1 V 0.000 0.000 0.000 1
Hg1 Hg 0.500 0.500 0.500 1
```

---

First-principles (PBE) data for a relaxed MgAlZn2 crystal, as listed in Alexandria.

Output
symmetry	Pmm2, No. 25
DOS(E_F)	1.0	states/eV/f.u.
energy relative to the elements	5	meV/atom

```
data_MgAlZn2
_chemical_formula_sum 'Mg1 Al1 Zn2'
_cell_length_a 3.025
_cell_length_b 4.054
_cell_length_c 5.578
_cell_angle_alpha 90.00
_cell_angle_beta 90.00
_cell_angle_gamma 90.00
_space_group_name_H-M_alt 'P 1'
_space_group_IT_number 1
_space_group_name_Hall 'P 1'
loop_
_atom_site_label
_atom_site_type_symbol
_atom_site_fract_x
_atom_site_fract_y
_atom_site_fract_z
_atom_site_occupancy
Mg1 Mg 0.000 0.000 0.000 1
Al1 Al 0.500 0.500 0.726 1
Zn1 Zn 0.000 0.000 0.495 1
Zn2 Zn 0.500 0.500 0.243 1
```

---

First-principles (PBE) data for a relaxed Nd2AlAg3 crystal, as listed in Alexandria.

Output
symmetry	Fmmm, No. 69
energy relative to the lowest polymorph listed for this composition	0.000	eV per atom
DOS(E_F)	4.4	states/eV/f.u.
energy relative to the elements	-299	meV/atom

```
data_Nd2AlAg3
_chemical_formula_sum 'Nd4 Al2 Ag6'
_cell_length_a 9.616
_cell_length_b 9.072
_cell_length_c 5.944
_cell_angle_alpha 76.50
_cell_angle_beta 66.55
_cell_angle_gamma 36.95
_space_group_name_H-M_alt 'P 1'
_space_group_IT_number 1
_space_group_name_Hall 'P 1'
loop_
_atom_site_label
_atom_site_type_symbol
_atom_site_fract_x
_atom_site_fract_y
_atom_site_fract_z
_atom_site_occupancy
Nd1 Nd 0.243 0.757 0.757 1
Nd2 Nd 0.250 0.250 0.250 1
Nd3 Nd 0.750 0.750 0.750 1
Nd4 Nd 0.757 0.243 0.243 1
Al1 Al 0.333 0.333 0.667 1
Al2 Al 0.667 0.667 0.333 1
Ag1 Ag 0.171 0.171 0.829 1
Ag2 Ag 0.174 0.657 0.343 1
Ag3 Ag 0.343 0.826 0.174 1
Ag4 Ag 0.657 0.174 0.826 1
Ag5 Ag 0.826 0.343 0.657 1
Ag6 Ag 0.829 0.829 0.171 1
```

---

First-principles (PBE) data for a relaxed Er5Ge2Pb2 crystal, as listed in Alexandria.

Output
symmetry	Cmce, No. 64
DOS(E_F)	4.4	states/eV/f.u.
energy relative to the elements	-689	meV/atom

```
data_Er5Ge2Pb2
_chemical_formula_sum 'Er10 Ge4 Pb4'
_cell_length_a 8.598
_cell_length_b 8.598
_cell_length_c 7.869
_cell_angle_alpha 90.00
_cell_angle_beta 90.00
_cell_angle_gamma 54.89
_space_group_name_H-M_alt 'P 1'
_space_group_IT_number 1
_space_group_name_Hall 'P 1'
loop_
_atom_site_label
_atom_site_type_symbol
_atom_site_fract_x
_atom_site_fract_y
_atom_site_fract_z
_atom_site_occupancy
Er1 Er 0.000 0.000 0.000 1
Er2 Er 0.041 0.708 0.666 1
Er3 Er 0.208 0.541 0.166 1
Er4 Er 0.292 0.959 0.666 1
Er5 Er 0.459 0.792 0.166 1
Er6 Er 0.500 0.500 0.500 1
Er7 Er 0.541 0.208 0.834 1
Er8 Er 0.708 0.041 0.334 1
Er9 Er 0.792 0.459 0.834 1
Er10 Er 0.959 0.292 0.334 1
Ge1 Ge 0.139 0.861 0.360 1
Ge2 Ge 0.361 0.639 0.860 1
Ge3 Ge 0.639 0.361 0.140 1
Ge4 Ge 0.861 0.139 0.640 1
Pb1 Pb 0.211 0.211 0.000 1
Pb2 Pb 0.289 0.289 0.500 1
Pb3 Pb 0.711 0.711 0.500 1
Pb4 Pb 0.789 0.789 0.000 1
```

---

First-principles (PBE) data for a relaxed LiAcPrOs crystal, as listed in Alexandria.

Output
symmetry	F-43m, No. 216
DOS(E_F)	2.4	states/eV/f.u.
energy relative to the elements	16	meV/atom

```
data_LiAcPrOs
_chemical_formula_sum 'Li1 Ac1 Pr1 Os1'
_cell_length_a 5.209
_cell_length_b 5.209
_cell_length_c 5.209
_cell_angle_alpha 60.00
_cell_angle_beta 60.00
_cell_angle_gamma 60.00
_space_group_name_H-M_alt 'P 1'
_space_group_IT_number 1
_space_group_name_Hall 'P 1'
loop_
_atom_site_label
_atom_site_type_symbol
_atom_site_fract_x
_atom_site_fract_y
_atom_site_fract_z
_atom_site_occupancy
Li1 Li 0.000 0.000 0.000 1
Ac1 Ac 0.750 0.750 0.750 1
Pr1 Pr 0.250 0.250 0.250 1
Os1 Os 0.500 0.500 0.500 1
```

---

First-principles (PBE) data for a relaxed KNa2DyBr6 crystal, as listed in Alexandria.

Output
symmetry	R3, No. 146
energy relative to the elements, uncorrected	-1.729	eV/atom
DOS(E_F)	0.0	states/eV/f.u.

```
data_KNa2DyBr6
_chemical_formula_sum 'K1 Na2 Dy1 Br6'
_cell_length_a 8.185
_cell_length_b 8.185
_cell_length_c 8.185
_cell_angle_alpha 55.32
_cell_angle_beta 55.32
_cell_angle_gamma 55.32
_space_group_name_H-M_alt 'P 1'
_space_group_IT_number 1
_space_group_name_Hall 'P 1'
loop_
_atom_site_label
_atom_site_type_symbol
_atom_site_fract_x
_atom_site_fract_y
_atom_site_fract_z
_atom_site_occupancy
K1 K 0.000 0.000 0.000 1
Na1 Na 0.291 0.291 0.291 1
Na2 Na 0.803 0.803 0.803 1
Dy1 Dy 0.484 0.484 0.484 1
Br1 Br 0.093 0.664 0.436 1
Br2 Br 0.233 0.568 0.865 1
Br3 Br 0.436 0.093 0.664 1
Br4 Br 0.568 0.865 0.233 1
Br5 Br 0.664 0.436 0.093 1
Br6 Br 0.865 0.233 0.568 1
```

---

First-principles (PBE) data for a relaxed LiTaN3 crystal, as listed in Alexandria.

Output
symmetry	Pm-3m, No. 221
energy relative to the elements, uncorrected	0.174	eV/atom
DOS(E_F)	2.7	states/eV/f.u.

```
data_LiTaN3
_chemical_formula_sum 'Li1 Ta1 N3'
_cell_length_a 4.065
_cell_length_b 4.065
_cell_length_c 4.065
_cell_angle_alpha 90.00
_cell_angle_beta 90.00
_cell_angle_gamma 90.00
_space_group_name_H-M_alt 'P 1'
_space_group_IT_number 1
_space_group_name_Hall 'P 1'
loop_
_atom_site_label
_atom_site_type_symbol
_atom_site_fract_x
_atom_site_fract_y
_atom_site_fract_z
_atom_site_occupancy
Li1 Li 0.000 0.000 0.000 1
Ta1 Ta 0.500 0.500 0.500 1
N1 N 0.000 0.500 0.500 1
N2 N 0.500 0.000 0.500 1
N3 N 0.500 0.500 0.000 1
```

---

First-principles (PBE) data for a relaxed InIrBr2 crystal, as listed in Alexandria.

Output
symmetry	R-3m, No. 166
energy relative to the lowest polymorph listed for this composition	0.387	eV per atom
energy relative to the elements, uncorrected	0.330	eV/atom
DOS(E_F)	3.6	states/eV/f.u.

```
data_InIrBr2
_chemical_formula_sum 'In1 Ir1 Br2'
_cell_length_a 8.734
_cell_length_b 8.734
_cell_length_c 8.734
_cell_angle_alpha 25.08
_cell_angle_beta 25.08
_cell_angle_gamma 25.08
_space_group_name_H-M_alt 'P 1'
_space_group_IT_number 1
_space_group_name_Hall 'P 1'
loop_
_atom_site_label
_atom_site_type_symbol
_atom_site_fract_x
_atom_site_fract_y
_atom_site_fract_z
_atom_site_occupancy
In1 In 0.000 0.000 0.000 1
Ir1 Ir 0.500 0.500 0.500 1
Br1 Br 0.221 0.221 0.221 1
Br2 Br 0.779 0.779 0.779 1
```